Computed, not measured: a relaxed La2ScAl crystal at the PBE-GGA level of DFT.

Lattice parameters (Å, degrees): 4.010 4.010 7.201 90.00 90.00 90.00
Atoms (fractional coordinates):
Al1 0.500 0.500 0.750
Sc1 0.500 0.500 0.250
La1 0.000 0.000 0.983
La2 0.000 0.000 0.517

Values from the calculation:
Electronic total energy (eV per cell): -20.4
Formation energy from the elements (eV per formula unit): -0.4

=====

Computed, not measured: a relaxed AsIrS crystal at the PBE-GGA level of DFT.

Lattice parameters (Å, degrees): 5.564 3.559 12.229 90.00 97.71 90.00
Atoms (fractional coordinates):
As1 0.149 0.000 0.391
Ir1 0.203 0.000 0.749
As2 0.149 0.500 0.891
As3 0.851 0.500 0.109
Ir2 0.797 0.000 0.251
S1 0.622 0.000 0.848
As4 0.851 0.000 0.609
Ir3 0.797 0.500 0.751
S2 0.378 0.500 0.652
S3 0.378 0.000 0.152
Ir4 0.203 0.500 0.249
S4 0.622 0.500 0.348

Values from the calculation:
Raw formation energy (eV/atom): -0.1829
Electronic total energy (eV per cell): -72.7

=====

Computed, not measured: a relaxed NpFeCuSn crystal at the PBE-GGA level of DFT.

Lattice parameters (Å, degrees): 4.656 4.656 4.656 60.00 60.00 60.00
Atoms (fractional coordinates):
Cu1 0.500 0.500 0.500
Sn1 0.250 0.250 0.250
Np1 0.750 0.750 0.750
Fe1 0.000 0.000 0.000

Values from the calculation:
Electronic total energy (eV per cell): -29.0
Formation energy from the elements (eV per formula unit): 0.5